#one
MgZnI2N | GGA-PBE | optimized geometry

a b c (Å): 5.8637 5.8637 3.8044
angles (deg): 90.00 90.00 90.00
With the nearest neighbours (Å) after each atom.
Element x y z (fractional)
I  0.0000  0.5000  0.0000  2 Zn 2.93
I  0.5000  0.0000  0.0000  2 Zn 2.93
Zn  0.0000  0.0000  0.0000  2 N 1.90
Mg  0.5000  0.5000  0.5000  8 I 3.49, 2 Mg 3.80
N  0.0000  0.0000  0.5000  2 Zn 1.90

Output
- Magnetization: 1.6 Bohr magnetons per cell
- SG: P4/mmm, No. 123
- Calculated density: 4.5 g/cm³
- V: 26.2 A^3/atom


#two
MgZnI2N | GGA-PBE | optimized geometry

a b c (Å): 5.8592 5.8592 4.1078
angles (deg): 90.00 90.00 90.00
With the nearest neighbours (Å) after each atom.
Element x y z (fractional)
I  0.0000  0.5000  0.0000  2 Mg 2.93
I  0.5000  0.0000  0.0000  2 Mg 2.93
Zn  0.5000  0.5000  0.5000  8 I 3.58
Mg  0.0000  0.0000  0.0000  2 N 2.05
N  0.0000  0.0000  0.5000  2 Mg 2.05

Output
- Magnetization: 2.0 Bohr magnetons per cell
- SG: P4/mmm, No. 123
- Calculated density: 4.2 g/cm³
- V: 28.2 A^3/atom


Sorted by energy, starting with the most stable: #two, #one.


#one
MgZnIN2 | GGA-PBE | optimized geometry

a b c (Å): 4.2296 4.2296 6.2564
angles (deg): 90.00 90.00 90.00
With the nearest neighbours (Å) after each atom.
Element x y z (fractional)
I  0.0000  0.0000  0.5000  4 Zn 2.99, 2 Mg 3.13
Zn  0.5000  0.5000  0.5000  4 I 2.99
Mg  0.0000  0.0000  0.0000  4 N 2.11
N  0.0000  0.5000  0.0000  2 Mg 2.11
N  0.5000  0.0000  0.0000  2 Mg 2.11

Output
- Magnetization: 4.0 Bohr magnetons per cell
- SG: P4/mmm, No. 123
- Calculated density: 3.6 g/cm³
- V: 22.4 A^3/atom


#two
MgZnIN2 | GGA-PBE | optimized geometry

a b c (Å): 4.0406 4.0406 6.0043
angles (deg): 90.00 90.00 90.00
With the nearest neighbours (Å) after each atom.
Element x y z (fractional)
I  0.0000  0.0000  0.5000  4 Mg 2.86, 2 Zn 3.00
Zn  0.0000  0.0000  0.0000  4 N 2.02
Mg  0.5000  0.5000  0.5000  4 I 2.86
N  0.0000  0.5000  0.0000  2 Zn 2.02
N  0.5000  0.0000  0.0000  2 Zn 2.02

Output
- Magnetization: 2.6 Bohr magnetons per cell
- SG: P4/mmm, No. 123
- Calculated density: 4.1 g/cm³
- V: 19.6 A^3/atom


Sorted by energy, starting with the most stable: #one, #two.